Record 1
HfMgTcO6 | GGA-PBE | relaxed

```
18
Lattice="4.751 0.000 0.000 0.000 4.751 0.000 0.000 0.000 9.356" Properties=species:S:1:pos:R:3 pbc="T T T"
Hf 0.000 0.000 0.000
Hf 2.376 2.376 4.678
Mg 0.000 0.000 3.175
Mg 2.376 2.376 7.853
Tc 0.000 0.000 6.271
Tc 2.376 2.376 1.593
O 0.917 0.917 7.749
O 0.926 0.926 4.827
O 1.030 1.030 1.564
O 1.346 3.405 6.242
O 1.449 3.302 0.149
O 1.459 3.293 3.071
O 3.293 1.459 3.071
O 3.302 1.449 0.149
O 3.405 1.346 6.242
O 3.721 3.721 1.564
O 3.825 3.825 4.827
O 3.834 3.834 7.749
```

Output
The magnetization comes out at 2.01 Bohr magnetons per cell. Its symmetry is No. 102. As for the uncorrected energy: -144.74 eV for the cell shown. The value obtained for the density of states at the Fermi level is 4.12 states/eV/cell. Its volume is 211.2 Å³/cell.

---

Record 2
Ca3Ni9GeP2 | GGA-PBE | relaxed

```
15
Lattice="5.833 0.000 0.000 -2.916 5.051 0.000 0.000 0.000 8.247" Properties=species:S:1:pos:R:3 pbc="T T T"
Ca 0.000 0.000 0.000
Ca 0.000 3.368 5.291
Ca 2.916 1.684 2.956
Ni -1.458 2.526 0.000
Ni 0.000 1.455 2.304
Ni -1.657 4.324 2.304
Ni 1.260 0.727 5.942
Ni 2.916 0.000 0.000
Ni 1.458 2.526 0.000
Ni 1.657 4.324 2.304
Ni 4.573 0.727 5.942
Ni 2.916 3.597 5.942
Ge 0.000 0.000 4.123
P 0.000 3.368 1.411
P 2.916 1.684 6.836
```

Output
The magnetization comes out at 0.00 Bohr magnetons per cell. Its symmetry is No. 164. Its formation energy from the elements is -0.329 eV/atom. The value obtained for the density of states at the Fermi level is 9.56 states/eV/cell. Its volume is 243.0 Å³/cell.

---

Record 3
HgSb | GGA-PBE | relaxed

```
4
Lattice="-1.989 2.416 5.962 1.989 -2.416 5.962 1.989 2.416 -5.962" Properties=species:S:1:pos:R:3 pbc="T T T"
Hg 0.000 1.208 1.194
Hg 1.989 1.208 4.768
Sb 1.989 1.208 -1.900
Sb 0.000 1.208 7.862
```

Output
The magnetization comes out at 0.00 Bohr magnetons per cell. Its symmetry is No. 74. The value obtained for the density of states at the Fermi level is 2.07 states/eV/cell. Its volume is 114.6 Å³/cell. The energy above the most stable polymorph in this dataset is 106 meV per atom.

---

Record 4
Sb2Te2Rh | GGA-PBE | relaxed

```
10
Lattice="6.734 0.000 0.000 0.000 6.734 0.000 0.000 0.000 6.246" Properties=species:S:1:pos:R:3 pbc="T T T"
Sb 1.043 2.324 0.000
Sb 2.324 5.691 0.000
Sb 4.410 1.043 0.000
Sb 5.691 4.410 0.000
Te 1.463 1.905 3.123
Te 1.905 5.272 3.123
Te 4.830 1.463 3.123
Te 5.272 4.830 3.123
Rh 0.000 0.000 0.000
Rh 3.367 3.367 0.000
```

Output
The magnetization comes out at 0.00 Bohr magnetons per cell. Its symmetry is No. 127. The value obtained for the density of states at the Fermi level is 6.63 states/eV/cell. Its volume is 283.3 Å³/cell. The energy above the most stable polymorph in this dataset is 0 meV per atom.